DFT (PBE+U) results for a relaxed structure of Rb2VCl3F.

Geometry as CIF:
```
data_Rb2VCl3F
_cell_length_a 4.304
_cell_length_b 5.147
_cell_length_c 16.793
_cell_angle_alpha 90.00
_cell_angle_beta 90.00
_cell_angle_gamma 90.00
_symmetry_space_group_name_H-M 'I m m m'
_symmetry_Int_Tables_number 71
_symmetry_space_group_name_Hall '-I 2 2'
loop_
_atom_site_label
_atom_site_type_symbol
_atom_site_fract_x
_atom_site_fract_y
_atom_site_fract_z
_atom_site_occupancy
Rb1 Rb 0.000 0.000 0.146 1
V1 V 0.000 0.000 0.500 1
Cl1 Cl 0.000 0.000 0.347 1
Cl2 Cl 0.000 0.500 0.500 1
F1 F 0.000 0.500 0.000 1
```

electronic total energy = -4.344 eV per atom
crystal system = orthorhombic
total moment = 3.0 μB/f.u.